RbNa2Re: relaxed, PBE-GGA.

- Energy of formation from the pure elements: 1.55 eV per atom
- N(E_F): 11.40 states/eV/cell
- Raw total energy: -2.467 eV per atom
- E above lowest polymorph: 128 meV per atom

```
RbNa2Re
1.0
-2.5110 2.5110 11.7463
2.5110 -2.5110 11.7463
2.5110 2.5110 -11.7463
Rb Na Re
2 4 2
Direct
0.0000 0.0000 0.0000
0.7500 0.2500 0.5000
0.1756 0.6250 0.0506
0.3750 0.4256 0.5506
0.5744 0.1250 0.9494
0.8750 0.8244 0.4494
0.2500 0.7500 0.5000
0.5000 0.5000 0.0000
```

***

LiAgSbI2: relaxed, PBE-GGA.

- N(E_F): 2.80 states/eV/cell
- Raw total energy: -2.169 eV per atom
- E above lowest polymorph: 134 meV per atom
- Formation energy (no corrections): 0.23 eV per atom

```
LiAgSbI2
1.0
5.4563 0.0000 0.0000
0.0000 5.4563 0.0000
0.0000 0.0000 5.1289
Li Ag Sb I
1 1 1 2
Direct
0.0000 0.0000 0.0000
0.5000 0.5000 0.5000
0.0000 0.0000 0.5000
0.0000 0.5000 0.0000
0.5000 0.0000 0.0000
```

***

La14ThTl: relaxed, PBE-GGA.

- Energy of formation from the pure elements: -0.04 eV per atom
- N(E_F): 22.72 states/eV/cell
- Raw total energy: -4.963 eV per atom

```
La14ThTl
1.0
10.3764 0.0000 0.0000
0.0000 5.1895 5.1956
0.0000 -5.1895 5.1956
La Th Tl
14 1 1
Direct
0.0000 0.0000 0.0000
0.0000 0.4987 0.4987
0.0000 0.4994 0.9983
0.0000 0.9983 0.4994
0.2571 0.2508 0.2508
0.2571 0.2506 0.7473
0.2571 0.7473 0.2506
0.2575 0.7475 0.7475
0.5000 0.0000 0.4981
0.5000 0.4981 0.0000
0.7425 0.7475 0.7475
0.7429 0.2508 0.2508
0.7429 0.2506 0.7473
0.7429 0.7473 0.2506
0.5000 0.9989 0.9989
0.5000 0.4994 0.4994
```

***

Nb2VAg: relaxed, PBE-GGA.

- Energy of formation from the pure elements: 0.47 eV per atom
- N(E_F): 5.11 states/eV/cell
- Raw total energy: -7.554 eV per atom
- E above lowest polymorph: 289 meV per atom

```
Nb2VAg
1.0
1.3935 0.8045 10.7373
-1.3935 0.8045 10.7373
0.0000 -1.6090 10.7373
Nb V Ag
2 1 1
Direct
0.0904 0.0904 0.0904
0.9096 0.9096 0.9096
0.5000 0.5000 0.5000
0.0000 0.0000 0.0000
```

***

Ta3PPb: relaxed, PBE-GGA.

- Energy of formation from the pure elements: 2.69 eV per atom
- N(E_F): 13.31 states/eV/cell
- Raw total energy: -6.247 eV per atom
- E above lowest polymorph: 2215 meV per atom

```
Ta3PPb
1.0
5.1128 0.0000 0.0000
0.0000 5.1128 0.0000
0.0000 0.0000 5.1128
Ta P Pb
3 1 1
Direct
0.0000 0.0000 0.5000
0.0000 0.5000 0.0000
0.5000 0.0000 0.0000
0.5000 0.5000 0.5000
0.0000 0.0000 0.0000
```

***

Ca2Mg2ScCd5: relaxed, PBE-GGA.

- Energy of formation from the pure elements: -0.21 eV per atom
- N(E_F): 9.16 states/eV/cell
- Raw total energy: -2.019 eV per atom

```
Ca2Mg2ScCd5
1.0
10.7368 0.0000 0.0000
0.0000 10.7368 0.0000
0.0000 0.0000 4.2744
Ca Mg Sc Cd
4 4 2 10
Direct
0.1785 0.3215 0.0000
0.3215 0.8215 0.0000
0.6785 0.1785 0.0000
0.8215 0.6785 0.0000
0.1186 0.6186 0.0000
0.3814 0.1186 0.0000
0.6186 0.8814 0.0000
0.8814 0.3814 0.0000
0.0000 0.0000 0.0000
0.5000 0.5000 0.0000
0.0000 0.5000 0.5000
0.0528 0.7999 0.5000
0.2001 0.0528 0.5000
0.2999 0.5528 0.5000
0.4472 0.2999 0.5000
0.5000 0.0000 0.5000
0.5528 0.7001 0.5000
0.7001 0.4472 0.5000
0.7999 0.9472 0.5000
0.9472 0.2001 0.5000
```

***

Pm2BeZn3Pt4: relaxed, PBE-GGA.

- Energy of formation from the pure elements: -0.74 eV per atom
- N(E_F): 6.03 states/eV/cell
- Raw total energy: -4.860 eV per atom

```
Pm2BeZn3Pt4
1.0
4.1919 0.0000 0.0000
0.0000 4.1919 0.0000
0.0000 0.0000 10.4561
Pm Be Zn Pt
2 1 3 4
Direct
0.0000 0.5000 0.2495
0.5000 0.0000 0.7505
0.0000 0.0000 0.5000
0.0000 0.5000 0.8610
0.5000 0.0000 0.1390
0.5000 0.5000 0.5000
0.0000 0.0000 0.0000
0.0000 0.5000 0.6230
0.5000 0.0000 0.3770
0.5000 0.5000 0.0000
```

***

La2MgCoBi: relaxed, PBE-GGA.

- Energy of formation from the pure elements: -0.48 eV per atom
- N(E_F): 2.39 states/eV/cell
- Raw total energy: -4.965 eV per atom

```
La2MgCoBi
1.0
5.2359 0.0000 0.0000
0.0000 5.2359 0.0000
0.0000 0.0000 5.0188
La Mg Co Bi
2 1 1 1
Direct
0.0000 0.5000 0.0000
0.5000 0.0000 0.0000
0.0000 0.0000 0.5000
0.0000 0.0000 0.0000
0.5000 0.5000 0.5000
```

***

LaPm2Sm2Dy4: relaxed, PBE-GGA.

- Energy of formation from the pure elements: 0.02 eV per atom
- N(E_F): 13.89 states/eV/cell
- Raw total energy: -4.676 eV per atom

```
LaPm2Sm2Dy4
1.0
7.6753 -2.5537 0.0000
7.6753 2.5537 0.0000
-2.5614 0.0000 7.6409
La Pm Sm Dy
1 2 2 4
Direct
0.0000 0.0000 0.0000
0.3322 0.3322 0.0001
0.6678 0.6678 0.9999
0.1110 0.1110 0.6630
0.8890 0.8890 0.3370
0.2224 0.2224 0.3357
0.4430 0.4430 0.6635
0.5570 0.5570 0.3365
0.7776 0.7776 0.6643
```

***

Zr2AuF: relaxed, PBE-GGA.

- N(E_F): 2.62 states/eV/cell
- Raw total energy: -6.399 eV per atom
- E above lowest polymorph: 0 meV per atom
- Formation energy (no corrections): -0.84 eV per atom

```
Zr2AuF
1.0
0.0000 3.3241 3.3241
3.3241 0.0000 3.3241
3.3241 3.3241 0.0000
Zr Au F
2 1 1
Direct
0.2500 0.2500 0.2500
0.7500 0.7500 0.7500
0.0000 0.0000 0.0000
0.5000 0.5000 0.5000
```

***

Pm10Dy4Sc: relaxed, PBE-GGA.

- Energy of formation from the pure elements: 0.34 eV per atom
- N(E_F): 20.44 states/eV/cell
- Raw total energy: -4.477 eV per atom

```
Pm10Dy4Sc
1.0
-4.9100 4.9100 5.2383
4.9100 -4.9100 5.2383
4.9100 4.9100 -5.2383
Pm Dy Sc
10 4 1
Direct
0.0468 0.9495 0.6753
0.0505 0.7259 0.0973
0.2500 0.7500 0.5000
0.2741 0.3715 0.3247
0.3715 0.0468 0.0973
0.6285 0.9532 0.9027
0.7259 0.6285 0.6753
0.7500 0.2500 0.5000
0.9495 0.2741 0.9027
0.9532 0.0505 0.3247
0.1761 0.5585 0.7345
0.4415 0.1761 0.6176
0.5585 0.8239 0.3824
0.8239 0.4415 0.2655
0.5000 0.5000 0.0000
```

***

SrCaIn2: relaxed, PBE-GGA.

- Energy of formation from the pure elements: -0.29 eV per atom
- N(E_F): 2.45 states/eV/cell
- Raw total energy: -2.578 eV per atom
- E above lowest polymorph: 164 meV per atom

```
SrCaIn2
1.0
-2.4695 2.4695 5.2095
2.4695 -2.4695 5.2095
2.4695 2.4695 -5.2095
Sr Ca In
1 1 2
Direct
0.0000 0.0000 0.0000
0.2500 0.7500 0.5000
0.5000 0.5000 0.0000
0.7500 0.2500 0.5000
```